# 1
This record from the Alexandria database describes a relaxed Pm2Sm5Dy5 crystal. The functional is PBE.

a b c (Å): 8.038 8.038 11.384
angles (deg): 115.12 115.12 36.83
Sites, in units of the cell vectors:
Pm (0.083, 0.083, 0.251)
Pm (0.917, 0.917, 0.749)
Sm (0.000, 0.000, 0.500)
Sm (0.166, 0.166, 0.999)
Sm (0.249, 0.249, 0.748)
Sm (0.751, 0.751, 0.252)
Sm (0.834, 0.834, 0.001)
Dy (0.333, 0.333, 0.500)
Dy (0.417, 0.417, 0.251)
Dy (0.500, 0.500, 0.000)
Dy (0.583, 0.583, 0.749)
Dy (0.667, 0.667, 0.500)

VASP energy in eV/f.u.: -55.9
Magnetic moment in μB/f.u.: 0.00
Mass density in g cm⁻³: 7.81
Energy of formation from the pure elements in eV per atom: 0.015


# 2
This record from the Alexandria database describes a relaxed Ca2HoSn3Rh4 crystal. The functional is PBE.

a b c (Å): 4.432 4.432 11.374
angles (deg): 90.00 90.00 90.00
Sites, in units of the cell vectors:
Ca (0.000, 0.500, 0.228)
Ca (0.500, 0.000, 0.772)
Ho (0.000, 0.000, 0.500)
Sn (0.000, 0.500, 0.875)
Sn (0.500, 0.000, 0.125)
Sn (0.500, 0.500, 0.500)
Rh (0.000, 0.000, 0.000)
Rh (0.000, 0.500, 0.644)
Rh (0.500, 0.000, 0.356)
Rh (0.500, 0.500, 0.000)

VASP energy in eV/f.u.: -56.8
Magnetic moment in μB/f.u.: 0.00
Mass density in g cm⁻³: 7.53
Energy of formation from the pure elements in eV per atom: -0.685


# 3
This record from the Alexandria database describes a relaxed V2Ni7Ge2Ru crystal. The functional is PBE.

a b c (Å): 3.591 3.591 11.557
angles (deg): 90.00 90.00 90.06
Sites, in units of the cell vectors:
V (0.000, 0.000, 0.177)
V (0.000, 0.000, 0.823)
Ni (0.000, 0.000, 0.500)
Ni (0.000, 0.500, 0.342)
Ni (0.000, 0.500, 0.658)
Ni (0.251, 0.251, 0.000)
Ni (0.500, 0.000, 0.342)
Ni (0.500, 0.000, 0.658)
Ni (0.749, 0.749, 0.000)
Ge (0.500, 0.500, 0.190)
Ge (0.500, 0.500, 0.810)
Ru (0.500, 0.500, 0.500)

VASP energy in eV/f.u.: -77.9
Magnetic moment in μB/f.u.: 1.63
Mass density in g cm⁻³: 8.46
Energy of formation from the pure elements in eV per atom: -0.059


# 4
This record from the Alexandria database describes a relaxed Ho2ErMgTl4 crystal. The functional is PBE.

a b c (Å): 9.355 9.355 9.355
angles (deg): 32.51 32.51 32.51
Sites, in units of the cell vectors:
Ho (0.244, 0.244, 0.244)
Ho (0.756, 0.756, 0.756)
Er (0.000, 0.000, 0.000)
Mg (0.500, 0.500, 0.500)
Tl (0.124, 0.124, 0.124)
Tl (0.375, 0.375, 0.375)
Tl (0.625, 0.625, 0.625)
Tl (0.876, 0.876, 0.876)

VASP energy in eV/f.u.: -26.9
Magnetic moment in μB/f.u.: 0.00
Mass density in g cm⁻³: 10.57
Energy of formation from the pure elements in eV per atom: -0.271


# 5
This record from the Alexandria database describes a relaxed YBr5 crystal. The functional is PBE.

a b c (Å): 6.316 4.079 14.012
angles (deg): 90.00 90.00 90.00
Sites, in units of the cell vectors:
Y (0.000, 0.000, 0.000)
Y (0.000, 0.500, 0.500)
Br (0.000, 0.000, 0.364)
Br (0.000, 0.000, 0.635)
Br (0.000, 0.500, 0.135)
Br (0.000, 0.500, 0.864)
Br (0.500, 0.000, 0.152)
Br (0.500, 0.000, 0.485)
Br (0.500, 0.000, 0.817)
Br (0.500, 0.500, 0.317)
Br (0.500, 0.500, 0.652)
Br (0.500, 0.500, 0.985)

VASP energy in eV/f.u.: -19.9
Uncorrected formation energy in kJ/mol of formula units: -491
Magnetic moment in μB/f.u.: 0.00
Mass density in g cm⁻³: 4.49


# 6
This record from the Alexandria database describes a relaxed SrNi2Rh crystal. The functional is PBE.

a b c (Å): 2.912 3.547 6.641
angles (deg): 90.00 90.00 90.00
Sites, in units of the cell vectors:
Sr (0.000, 0.000, 0.000)
Ni (0.500, 0.500, 0.321)
Ni (0.500, 0.500, 0.679)
Rh (0.000, 0.000, 0.500)

VASP energy in eV/f.u.: -19.7
Magnetic moment in μB/f.u.: 0.22
Mass density in g cm⁻³: 7.45
Energy of formation from the pure elements in eV per atom: 0.233